1.
# FeP2PtS

A relaxed FeP2PtS crystal (PBE, Alexandria via LeMat-Bulk).

Calculated values
- ΔE_f (raw) (meV/atom) = 1017
- space group = P4/mmm
- V (Å³ per cell) = 104.7
- ΔE to the lowest computed polymorph (eV/f.u.) = 2.11
- raw total energy (eV/atom) = -4.873

Unit cell a=4.5741 b=4.5741 c=5.0026 alpha=90.00 beta=90.00 gamma=90.00
With the nearest neighbours (Å) after each atom.
Element x y z (fractional)
Pt 0.0000 0.0000 0.0000  4 P 2.29, 2 S 2.50
P 0.0000 0.5000 0.0000  2 Pt 2.29
P 0.5000 0.0000 0.0000  2 Pt 2.29
S 0.0000 0.0000 0.5000  2 Pt 2.50
Fe 0.5000 0.5000 0.5000  4 S 3.23, 8 P 3.39

***

2.
# BaAc3Al8

A relaxed BaAc3Al8 crystal (PBE, Alexandria via LeMat-Bulk).

Calculated values
- formation energy from the elements (kJ/mol of formula units) = -370
- space group = R3m
- V (Å³ per cell) = 295.7
- raw total energy (eV/atom) = -4.002

Unit cell a=5.9352 b=5.9352 c=10.2818 alpha=73.22 beta=73.22 gamma=60.00
With the nearest neighbours (Å) after each atom.
Element x y z (fractional)
Al 0.9369 0.4344 0.6919  6 Al 2.94-3.00
Al 0.6873 0.6873 0.9382  6 Al 2.93-2.94
Al 0.4381 0.4381 0.1832  6 Al 2.93-2.99
Al 0.9407 0.4381 0.1832  6 Al 2.93-2.99
Al 0.4381 0.9407 0.1832  6 Al 2.93-2.99
Ac 0.9985 0.9985 0.0045  12 Al 3.44-3.49, 1 Ba 3.62, 3 Ac 3.66
Ac 0.3756 0.3756 0.8731  12 Al 3.45-3.48, 4 Ac 3.66-3.67
Al 0.9369 0.9369 0.6919  6 Al 2.94-3.00
Ba 0.8741 0.8741 0.3777  12 Al 3.47-3.52, 4 Ac 3.61-3.62
Al 0.1878 0.1878 0.4366  6 Al 2.99-3.00
Ac 0.5017 0.5017 0.4948  12 Al 3.47-3.53, 3 Ba 3.61, 1 Ac 3.67
Al 0.4344 0.9369 0.6919  6 Al 2.94-3.00

***

3.
# CdSb2AsI

A relaxed CdSb2AsI crystal (PBE, Alexandria via LeMat-Bulk).

Calculated values
- ΔE_f (raw) (meV/atom) = 554
- space group = P4/mmm
- V (Å³ per cell) = 170.1
- ΔE to the lowest computed polymorph (eV/f.u.) = 0.00
- raw total energy (eV/atom) = -2.518

Unit cell a=5.5031 b=5.5031 c=5.6159 alpha=90.00 beta=90.00 gamma=90.00
With the nearest neighbours (Å) after each atom.
Element x y z (fractional)
Sb 0.0000 0.5000 0.0000  2 As 2.75
Sb 0.5000 0.0000 0.0000  2 As 2.75
Cd 0.5000 0.5000 0.5000  4 I 3.89, 8 Sb 3.93
As 0.0000 0.0000 0.0000  4 Sb 2.75, 2 I 2.81
I 0.0000 0.0000 0.5000  2 As 2.81

***

4.
# CsGaRh2Au

A relaxed CsGaRh2Au crystal (PBE, Alexandria via LeMat-Bulk).

Calculated values
- formation energy from the elements (kJ/mol of formula units) = 841
- space group = P4/mmm
- V (Å³ per cell) = 153.8
- raw total energy (eV/atom) = -2.628

Unit cell a=5.0124 b=6.1232 c=5.0124 alpha=90.00 beta=90.00 gamma=90.00
With the nearest neighbours (Å) after each atom.
Element x y z (fractional)
Rh 0.5000 0.0000 0.0000  2 Cs 2.51
Cs 0.0000 0.0000 0.0000  4 Rh 2.51
Rh 0.0000 0.0000 0.5000  2 Cs 2.51
Ga 0.5000 0.5000 0.5000  4 Au 3.54, 8 Rh 3.96
Au 0.0000 0.5000 0.0000  2 Cs 3.06

***

5.
# YMo4Rh

A relaxed YMo4Rh crystal (PBE, Alexandria via LeMat-Bulk).

Calculated values
- formation energy from the elements (kJ/mol of formula units) = 130
- space group = F-43m
- V (Å³ per cell) = 107.7
- raw total energy (eV/atom) = -9.299

Unit cell a=5.3403 b=5.3403 c=5.3403 alpha=60.00 beta=60.00 gamma=60.00
With the nearest neighbours (Å) after each atom.
Element x y z (fractional)
Mo 0.3738 0.8787 0.3738  6 Mo 2.64-2.70
Mo 0.3738 0.3738 0.8787  6 Mo 2.64-2.70
Rh 0.7500 0.7500 0.7500  12 Mo 3.13, 4 Y 3.27
Mo 0.3738 0.3738 0.3738  6 Mo 2.64-2.70
Y 0.0000 0.0000 0.0000  12 Mo 3.13, 4 Rh 3.27
Mo 0.8787 0.3738 0.3738  6 Mo 2.64-2.70

***

6.
# Li2Mg2Sn

A relaxed Li2Mg2Sn crystal (PBE, Alexandria via LeMat-Bulk).

Calculated values
- formation energy from the elements (kJ/mol of formula units) = -51
- space group = Imma
- V (Å³ per cell) = 226.0
- ΔE to the lowest computed polymorph (eV/f.u.) = 0.09
- raw total energy (eV/atom) = -2.310

Unit cell a=4.9696 b=3.5295 c=13.2384 alpha=97.66 beta=100.82 gamma=90.00
With the nearest neighbours (Å) after each atom.
Element x y z (fractional)
Li 0.2241 0.9741 0.4482  2 Sn 2.80, 2 Li 2.82
Mg 0.5504 0.3004 0.1009  6 Mg 3.05-3.14, 2 Li 3.06, 2 Sn 3.39
Sn 0.1398 0.3898 0.2795  6 Li 2.80-3.05, 2 Mg 2.95
Mg 0.4496 0.6996 0.8991  6 Mg 3.05-3.14, 2 Li 3.06, 2 Sn 3.39
Li 0.7759 0.0259 0.5518  2 Sn 2.80, 2 Li 2.82
Li 0.6476 0.8976 0.2952  4 Sn 3.05, 2 Mg 3.06, 3 Li 3.17-3.31
Sn 0.8602 0.6102 0.7205  6 Li 2.80-3.05, 2 Mg 2.95
Mg 0.0479 0.7979 0.0958  2 Sn 2.95, 6 Mg 3.03-3.05
Li 0.3524 0.1024 0.7048  4 Sn 3.05, 2 Mg 3.06, 3 Li 3.17-3.31
Mg 0.9521 0.2021 0.9042  2 Sn 2.95, 6 Mg 3.03-3.05

***

7.
# RbAl3Ga3

A relaxed RbAl3Ga3 crystal (PBE, Alexandria via LeMat-Bulk).

Calculated values
- formation energy from the elements (kJ/mol of formula units) = 83
- space group = P6_3/m
- V (Å³ per cell) = 315.7
- ΔE to the lowest computed polymorph (eV/f.u.) = 0.00
- raw total energy (eV/atom) = -2.916

Unit cell a=2.9538 b=11.1086 c=11.1091 alpha=120.00 beta=90.00 gamma=90.00
With the nearest neighbours (Å) after each atom.
Element x y z (fractional)
Rb 0.2500 0.6667 0.3333  2 Rb 2.95
Al 0.7500 0.2557 0.1506  3 Ga 2.73-2.82, 6 Al 2.88-2.95
Al 0.2500 0.7443 0.8494  3 Ga 2.73-2.82, 6 Al 2.88-2.95
Al 0.2500 0.1504 0.8950  3 Ga 2.73-2.82, 6 Al 2.88-2.95
Ga 0.2500 0.3893 0.3996  3 Al 2.73-2.82, 4 Ga 2.78-2.95
Ga 0.2500 0.0103 0.6107  3 Al 2.73-2.82, 4 Ga 2.78-2.95
Ga 0.7500 0.9897 0.3893  3 Al 2.73-2.82, 4 Ga 2.78-2.95
Al 0.7500 0.8496 0.1050  3 Ga 2.73-2.82, 6 Al 2.88-2.95
Ga 0.2500 0.6005 0.9898  3 Al 2.73-2.82, 4 Ga 2.78-2.95
Ga 0.7500 0.3995 0.0102  3 Al 2.73-2.82, 4 Ga 2.78-2.95
Al 0.2500 0.1051 0.2556  3 Ga 2.73-2.82, 6 Al 2.88-2.95
Al 0.7500 0.8949 0.7444  3 Ga 2.73-2.82, 6 Al 2.88-2.95
Rb 0.7500 0.3333 0.6667  2 Rb 2.95
Ga 0.7500 0.6107 0.6004  3 Al 2.73-2.82, 4 Ga 2.78-2.95

***

8.
# NiOsCl2

A relaxed NiOsCl2 crystal (PBE, Alexandria via LeMat-Bulk).

Calculated values
- ΔE_f (raw) (meV/atom) = 460
- space group = P4mm
- V (Å³ per cell) = 70.0
- ΔE to the lowest computed polymorph (eV/f.u.) = 1.02
- raw total energy (eV/atom) = -4.716

Unit cell a=2.9338 b=2.9338 c=8.1359 alpha=90.00 beta=90.00 gamma=90.00
With the nearest neighbours (Å) after each atom.
Element x y z (fractional)
Ni 0.0000 0.0000 0.5255  4 Cl 2.56, 4 Os 2.59
Os 0.5000 0.5000 0.7166  4 Ni 2.59, 4 Cl 2.63
Cl 0.0000 0.0000 0.9158  4 Os 2.63, 4 Cl 2.93
Cl 0.5000 0.5000 0.3421  4 Ni 2.56

***

9.
# VRhI

A relaxed VRhI crystal (PBE, Alexandria via LeMat-Bulk).

Calculated values
- ΔE_f (raw) (meV/atom) = -105
- space group = P1
- V (Å³ per cell) = 141.1
- ΔE to the lowest computed polymorph (eV/f.u.) = 0.27
- raw total energy (eV/atom) = -6.112

Unit cell a=4.2222 b=4.2215 c=9.4523 alpha=77.26 beta=89.82 gamma=59.98
With the nearest neighbours (Å) after each atom.
Element x y z (fractional)
I 0.1133 0.5623 0.1149  4 V 2.72-2.93
Rh 0.3042 0.1868 0.6697  1 V 2.44
Rh 0.6829 0.4273 0.8113  6 V 2.44-2.70
V 0.3899 0.0116 0.9370  4 Rh 2.44-2.70, 3 V 2.67
I 0.5840 0.6283 0.5027  4 Rh 2.82-2.88
V 0.0183 0.7561 0.8179  3 Rh 2.44, 3 V 2.67, 1 I 2.72

***

10.
# KRb3Ta

A relaxed KRb3Ta crystal (PBE, Alexandria via LeMat-Bulk).

Calculated values
- formation energy from the elements (kJ/mol of formula units) = 770
- space group = Pm-3m
- V (Å³ per cell) = 378.2
- ΔE to the lowest computed polymorph (eV/f.u.) = 2.03
- raw total energy (eV/atom) = -1.575

Unit cell a=7.2316 b=7.2316 c=7.2316 alpha=90.00 beta=90.00 gamma=90.00
With the nearest neighbours (Å) after each atom.
Element x y z (fractional)
Rb 0.0000 0.5000 0.0000  2 K 3.62
Rb 0.0000 0.0000 0.5000  2 K 3.62
Rb 0.5000 0.0000 0.0000  2 K 3.62
Ta 0.5000 0.5000 0.5000  12 Rb 5.11
K 0.0000 0.0000 0.0000  6 Rb 3.62

***

11.
# K2LaSb

A relaxed K2LaSb crystal (PBE, Alexandria via LeMat-Bulk).

Calculated values
- ΔE_f (raw) (meV/atom) = -170
- space group = Fmmm
- V (Å³ per cell) = 161.3
- raw total energy (eV/atom) = -2.981

Unit cell a=4.7985 b=7.7736 c=4.7908 alpha=72.55 beta=88.47 gamma=107.48
With the nearest neighbours (Å) after each atom.
Element x y z (fractional)
K 0.5000 0.0000 0.5000  4 K 3.34-3.44
K 0.0000 0.0000 0.0000  4 K 3.34-3.44
La 0.0000 0.5000 0.5000  4 Sb 3.34-3.44
Sb 0.5000 0.5000 0.0000  4 La 3.34-3.44

***

12.
# LaYTmTh

A relaxed LaYTmTh crystal (PBE, Alexandria via LeMat-Bulk).

Calculated values
- formation energy from the elements (kJ/mol of formula units) = 6
- space group = P4mm
- V (Å³ per cell) = 131.5
- ΔE to the lowest computed polymorph (eV/f.u.) = 0.00
- raw total energy (eV/atom) = -5.805

Unit cell a=3.6187 b=3.6187 c=10.0453 alpha=90.00 beta=90.00 gamma=90.00
With the nearest neighbours (Å) after each atom.
Element x y z (fractional)
La 0.0000 0.0000 0.0749  4 La 3.62, 4 Tm 3.64, 4 Y 3.70
Y 0.5000 0.5000 0.8086  4 Th 3.52, 4 Y 3.62, 4 La 3.70
Th 0.0000 0.0000 0.5680  4 Tm 3.48, 4 Y 3.52, 4 Th 3.62
Tm 0.5000 0.5000 0.3332  4 Th 3.48, 4 Tm 3.62, 4 La 3.64

***

Computed values of density (unit: g/cm³) for the preceding records, in sequence: 5.472 5.807 5.446 6.535 8.875 2.663 3.951 7.584 6.607 2.092 3.489 7.937.
Computed values of total moment (unit: μB/cell) for the preceding records, in sequence: 3.071 0.000 0.829 0.839 0.000 0.000 0.000 0.683 0.000 4.927 0.886 0.000.